TcMoW2 | GGA-PBEsol | relaxed

Properties
**Theoretical density**: 15.4 Mg/m³
**SG**: P4/mmm, No. 123
**Calculated volume**: 15.171 A^3/atom
**Energy of formation from the pure elements**: 0.03 eV per atom
**N(E_F)**: 0.69 states/eV per atom
**Final energy**: -12.63 eV/atom
**Polymorph energy (0 for the lowest one)**: 0 meV/atom
**Magnetic moment**: 0.00 μB per cell

Lattice parameters (Å, degrees): 3.118 4.412 4.412 90.00 90.00 90.00
Positions (direct):
1 W 0.000 0.000 0.500
2 W 0.000 0.500 0.000
3 Mo 0.500 0.500 0.500
4 Tc 0.500 0.000 0.000



TcMoW2 | GGA-PBEsol | relaxed

Properties
**Theoretical density**: 15.3 Mg/m³
**SG**: Immm, No. 71
**Calculated volume**: 15.207 A^3/atom
**Energy of formation from the pure elements**: 0.05 eV per atom
**N(E_F)**: 0.75 states/eV per atom
**Final energy**: -12.61 eV/atom
**Polymorph energy (0 for the lowest one)**: 26 meV/atom
**Magnetic moment**: 0.00 μB per cell

Lattice parameters (Å, degrees): 3.118 4.433 5.167 115.40 107.56 90.00
Positions (direct):
1 W 0.747 0.747 0.494
2 W 0.253 0.253 0.506
3 Tc 0.500 0.000 0.000
4 Mo 0.000 0.500 0.000



YTcMo | GGA-PBEsol | relaxed

Properties
**Theoretical density**: 8.8 Mg/m³
**SG**: Fmm2, No. 42
**Calculated volume**: 17.747 A^3/atom
**Energy of formation from the pure elements**: 0.38 eV per atom
**N(E_F)**: 0.89 states/eV per atom
**Final energy**: -9.58 eV/atom
**Magnetic moment**: 0.00 μB per cell

Lattice parameters (Å, degrees): 2.890 2.890 7.080 97.26 97.26 112.40
Positions (direct):
1 Mo 0.985 0.985 0.969
2 Y 0.671 0.671 0.342
3 Tc 0.345 0.345 0.689